No. 1
## Ac6Ir2PdPt (PBE)

Data for crystalline Ac6Ir2PdPt at its relaxed geometry.

Cell lengths 7.587, 7.590, 8.264 Å; angles 62.69, 62.69, 60.09 degrees
Space group P1 (No. 1)
One atom of each set of equivalent atoms:
Ac  0.000  0.000  0.000 [1 per cell]
Ac  0.134  0.862  0.498 [1 per cell]
Ac  0.336  0.360  0.000 [1 per cell]
Ac  0.501  0.202  0.498 [1 per cell]
Ac  0.640  0.697  0.000 [1 per cell]
Ac  0.842  0.495  0.498 [1 per cell]
Ir  0.239  0.599  0.260 [1 per cell]
Ir  0.736  0.097  0.767 [1 per cell]
Pd  0.419  0.779  0.720 [1 per cell]
Pt  0.917  0.278  0.223 [1 per cell]

## Properties
Fermi-level density of states (states/eV/atom): 0.60
ρ (g/cm³): 9.72
Total magnetic moment (μB/cell): 0.000
E_form (meV per atom): -718

No. 2
## RbLi4Mg (PBE)

Data for crystalline RbLi4Mg at its relaxed geometry.

Cell lengths 8.815, 8.815, 8.815 Å; angles 90.00, 90.00, 90.00 degrees
Space group F-43m (No. 216)
One atom of each set of equivalent atoms:
Rb  0.000  0.000  0.000 [4 per cell]
Li  0.122  0.122  0.378 [16 per cell]
Mg  0.250  0.250  0.750 [4 per cell]

## Properties
Fermi-level density of states (states/eV/atom): 0.79
ρ (g/cm³): 1.33
Total magnetic moment (μB/cell): 1.873
E_form (meV per atom): 154

No. 3
## Pr2Sm5Mg (PBE)

Data for crystalline Pr2Sm5Mg at its relaxed geometry.

Cell lengths 6.560, 18.142, 9.561 Å; angles 90.00, 108.91, 90.00 degrees
Space group C2/c (No. 15)
One atom of each set of equivalent atoms:
Pr  0.000  0.000  0.000 [4 per cell]
Pr  0.250  0.250  0.000 [4 per cell]
Sm  0.000  0.387  0.750 [4 per cell]
Sm  0.154  0.442  0.136 [8 per cell]
Sm  0.246  0.182  0.612 [8 per cell]
Mg  0.000  0.146  0.250 [4 per cell]

## Properties
Fermi-level density of states (states/eV/atom): 1.42
ρ (g/cm³): 6.53
Total magnetic moment (μB/cell): 0.000
Energy above the most stable polymorph in this dataset (meV per atom): 107
E_form (meV per atom): 188

No. 4
## PrB12Pb (PBE)

Data for crystalline PrB12Pb at its relaxed geometry.

Cell lengths 8.365, 8.365, 8.365 Å; angles 90.00, 90.00, 90.00 degrees
Space group Fm-3m (No. 225)
One atom of each set of equivalent atoms:
Pr  0.000  0.000  0.000 [4 per cell]
B  0.101  0.250  0.250 [48 per cell]
Pb  0.000  0.000  0.500 [4 per cell]

## Properties
Fermi-level density of states (states/eV/atom): 0.21
ρ (g/cm³): 5.42
Total magnetic moment (μB/cell): 0.000
E_form (meV per atom): -170